1.
TlSi2P, single point on PBEsol structure, DFT SCAN; V = 18.1 Å³/atom; ΔE_f (raw) = 941 meV/atom
1.0
-1.945 3.277 -2.721
-3.658 -1.081 -2.715
-4.251 1.674 1.025
P Si Tl
1 2 1
Direct
0.000 0.000 0.000 P
0.750 0.750 0.750 Si
0.250 0.250 0.250 Si
0.500 0.500 0.500 Tl



2.
TlSiP2, single point on PBEsol structure, DFT SCAN; V = 19.3 Å³/atom; ΔE_f (raw) = 403 meV/atom
1.0
-1.808 -2.279 1.454
-1.883 -1.963 -1.782
5.125 -6.890 -0.792
P Si Tl
2 1 1
Direct
0.026 0.026 0.922 P
0.745 0.745 0.764 P
0.480 0.480 0.560 Si
0.249 0.249 0.254 Tl



3.
Tl2SiP, single point on PBEsol structure, DFT SCAN; distance to the lowest polymorph of the same formula = 0.257 eV per atom; V = 27.5 Å³/atom; ΔE_f (raw) = 453 meV/atom
1.0
6.092 0.000 0.000
0.000 6.092 0.000
-3.046 -3.046 5.920
P Tl Si
2 4 2
Direct
0.250 0.750 0.500 P
0.000 0.000 0.000 P
0.374 0.875 0.250 Tl
0.876 0.375 0.250 Tl
0.125 0.124 0.750 Tl
0.625 0.626 0.750 Tl
0.750 0.250 0.500 Si
0.500 0.500 0.000 Si



4.
YTl2SiP, single point on PBEsol structure, DFT SCAN; V = 27.1 Å³/atom; ΔE_f (raw) = 276 meV/atom
1.0
-1.214 -2.088 4.309
-2.017 -3.809 -2.414
4.878 -2.643 0.093
Y P Tl Si
1 1 2 1
Direct
0.000 0.000 0.500 Y
0.500 0.500 0.500 P
0.000 0.500 0.000 Tl
0.500 0.000 0.000 Tl
0.000 0.000 0.000 Si



5.
SiPW2, single point on PBEsol structure, DFT SCAN; V = 13.7 Å³/atom; ΔE_f (raw) = -222 meV/atom
1.0
-1.186 2.661 -1.153
-2.884 -1.212 0.171
-0.538 2.013 5.198
P Si W
1 1 2
Direct
0.000 0.000 0.495 P
0.500 0.500 0.752 Si
0.000 0.000 0.962 W
0.500 0.500 0.290 W



6.
SiP2W, single point on PBEsol structure, DFT SCAN; V = 13.4 Å³/atom; ΔE_f (raw) = 346 meV/atom
1.0
3.257 0.000 0.000
0.000 4.423 0.000
-1.628 -2.212 3.729
P Si W
2 1 1
Direct
0.783 0.783 0.566 P
0.217 0.217 0.434 P
0.500 0.000 0.000 Si
0.000 0.500 0.000 W



| no. | calculated density (g/cm³) | DOS at the Fermi energy (states/eV per atom) | total magnetization (μB per cell) |
| --- | --- | --- | --- |
| 1 | 6.67 | 0.5690 | 0.0 |
| 2 | 6.34 | 0.3186 | 0.0 |
| 3 | 7.07 | 0.4899 | 0.0 |
| 4 | 6.83 | 0.2830 | 0.0 |
| 5 | 12.89 | 0.2728 | 0.0 |
| 6 | 8.47 | 0.2617 | 0.0 |